## ErCoB (PBE)

Data for crystalline ErCoB at its relaxed geometry.

Lattice parameters (Å, degrees): 3.906 3.550 3.550 120.00 90.00 90.00
Fractional positions:
B: 0.167 0.667 0.333
Co: 0.167 0.000 0.000
Er: 0.667 0.333 0.667

Summary:
Energy of formation from the pure elements (meV per atom): -373
ΔE to the lowest computed polymorph (meV per atom): 128
Space group: P-6m2
Total energy (eV/atom): -6.49